No. 1
Density functional theory data (GGA-PBE) for an optimized crystal structure of PPt2S. Values from VASP.

```
&SYSTEM
  ibrav = 0, nat = 4, ntyp = 3
/
ATOMIC_SPECIES
Pt 195.08 Pt.upf
S 32.06 S.upf
P 30.97 P.upf
CELL_PARAMETERS angstrom
0.000 3.111 3.111
3.111 0.000 3.111
3.111 3.111 0.000
ATOMIC_POSITIONS crystal
Pt 0.250 0.250 0.250
S 0.500 0.500 0.500
Pt 0.750 0.750 0.750
P 0.000 0.000 0.000
```

Output
Theoretical density   12.50 g/cm3
DOS(E_F)   1.61 states/eV/cell
E_form (uncorrected)   0.213 eV/atom
Raw total energy   -5.19 eV/atom
Offset from the most stable computed form   0.400 eV/atom

=====

No. 2
Density functional theory data (GGA-PBE) for an optimized crystal structure of NaTaH2Ru. Values from VASP.

```
&SYSTEM
  ibrav = 0, nat = 5, ntyp = 4
/
ATOMIC_SPECIES
Ta 180.95 Ta.upf
Ru 101.07 Ru.upf
H 1.01 H.upf
Na 22.99 Na.upf
CELL_PARAMETERS angstrom
-2.009 0.765 3.130
-3.381 -3.280 -1.368
1.880 -2.718 1.871
ATOMIC_POSITIONS crystal
Ta 0.000 0.000 0.000
Ru 0.000 0.500 0.000
H 0.000 0.000 0.500
Na 0.500 0.500 0.500
H 0.500 0.000 0.000
```

Output
Theoretical density   7.21 g/cm3
DOS(E_F)   2.93 states/eV/cell
Raw total energy   -5.12 eV/atom

=====

No. 3
Density functional theory data (GGA-PBE) for an optimized crystal structure of Ti6SiSn2. Values from VASP.

```
&SYSTEM
  ibrav = 0, nat = 9, ntyp = 3
/
ATOMIC_SPECIES
Sn 118.71 Sn.upf
Ti 47.87 Ti.upf
Si 28.09 Si.upf
CELL_PARAMETERS angstrom
3.608 0.000 0.000
0.000 7.203 0.000
0.000 -3.601 6.238
ATOMIC_POSITIONS crystal
Sn 0.000 0.667 0.333
Ti 0.000 0.240 0.000
Ti 0.000 0.000 0.240
Ti 0.500 0.379 0.379
Sn 0.000 0.333 0.667
Ti 0.500 0.621 0.000
Si 0.500 0.000 0.000
Ti 0.500 0.000 0.621
Ti 0.000 0.760 0.760
```

Output
Theoretical density   5.66 g/cm3
DOS(E_F)   4.88 states/eV/cell
E_form (uncorrected)   -0.471 eV/atom
Raw total energy   -7.23 eV/atom

=====

No. 4
Density functional theory data (GGA-PBE) for an optimized crystal structure of YAl2. Values from VASP.

```
&SYSTEM
  ibrav = 0, nat = 6, ntyp = 2
/
ATOMIC_SPECIES
Al 26.98 Al.upf
Y 88.91 Y.upf
CELL_PARAMETERS angstrom
-2.680 4.015 -3.588
2.660 -5.191 -1.465
-3.968 -2.181 0.523
ATOMIC_POSITIONS crystal
Al 0.140 0.530 0.750
Al 0.860 0.470 0.250
Y 0.761 0.761 0.750
Al 0.530 0.140 0.750
Al 0.470 0.860 0.250
Y 0.239 0.239 0.250
```

Output
Theoretical density   3.70 g/cm3
ΔH_f (0 K)   -0.281 eV per atom
DOS(E_F)   3.98 states/eV/cell
Raw total energy   -4.93 eV/atom

=====

No. 5
Density functional theory data (GGA-PBE) for an optimized crystal structure of Nd2ThNi2. Values from VASP.

```
&SYSTEM
  ibrav = 0, nat = 10, ntyp = 3
/
ATOMIC_SPECIES
Ni 58.69 Ni.upf
Nd 144.24 Nd.upf
Th 232.04 Th.upf
CELL_PARAMETERS angstrom
6.337 0.000 0.000
-3.169 5.445 -0.812
0.000 -0.313 7.212
ATOMIC_POSITIONS crystal
Ni 0.688 0.704 0.497
Nd 0.244 0.693 0.350
Ni 0.016 0.704 0.997
Ni 0.312 0.296 0.503
Ni 0.984 0.296 0.003
Nd 0.756 0.307 0.650
Nd 0.551 0.307 0.150
Nd 0.449 0.693 0.850
Th 0.080 0.000 0.750
Th 0.920 0.000 0.250
```

Output
Theoretical density   8.57 g/cm3
ΔH_f (0 K)   -0.306 eV per atom
DOS(E_F)   10.75 states/eV/cell
Raw total energy   -6.01 eV/atom

=====

No. 6
Density functional theory data (GGA-PBE) for an optimized crystal structure of PW. Values from VASP.

```
&SYSTEM
  ibrav = 0, nat = 12, ntyp = 2
/
ATOMIC_SPECIES
W 183.84 W.upf
P 30.97 P.upf
CELL_PARAMETERS angstrom
3.143 0.000 0.000
0.000 5.552 0.000
0.000 0.000 11.170
ATOMIC_POSITIONS crystal
W 0.000 0.684 0.500
P 0.500 0.336 0.500
W 0.500 0.316 0.000
P 0.000 0.664 0.000
W 0.500 0.990 0.362
P 0.500 0.317 0.219
P 0.500 0.317 0.781
P 0.000 0.683 0.719
P 0.000 0.683 0.281
W 0.000 0.010 0.862
W 0.500 0.990 0.638
W 0.000 0.010 0.138
```

Output
Theoretical density   10.98 g/cm3
ΔH_f (0 K)   -0.123 eV per atom
DOS(E_F)   6.95 states/eV/cell
Raw total energy   -9.30 eV/atom

=====

No. 7
Density functional theory data (GGA-PBE) for an optimized crystal structure of Er3CoPb2. Values from VASP.

```
&SYSTEM
  ibrav = 0, nat = 24, ntyp = 3
/
ATOMIC_SPECIES
Er 167.26 Er.upf
Pb 207.20 Pb.upf
Co 58.93 Co.upf
CELL_PARAMETERS angstrom
4.287 0.000 0.000
0.000 11.621 0.000
0.000 0.000 12.315
ATOMIC_POSITIONS crystal
Er 0.750 0.960 0.123
Pb 0.250 0.811 0.005
Co 0.750 0.635 0.371
Er 0.750 0.866 0.444
Er 0.250 0.134 0.556
Er 0.750 0.634 0.944
Pb 0.750 0.311 0.495
Er 0.250 0.040 0.877
Er 0.250 0.715 0.247
Pb 0.750 0.991 0.685
Pb 0.750 0.509 0.185
Co 0.250 0.135 0.129
Co 0.750 0.865 0.871
Pb 0.250 0.009 0.315
Er 0.250 0.785 0.747
Er 0.750 0.540 0.623
Er 0.250 0.460 0.377
Pb 0.250 0.491 0.815
Er 0.750 0.215 0.253
Pb 0.250 0.689 0.505
Er 0.250 0.366 0.056
Er 0.750 0.285 0.753
Co 0.250 0.365 0.629
Pb 0.750 0.189 0.995
```

Output
Theoretical density   10.56 g/cm3
ΔH_f (0 K)   -0.387 eV per atom
DOS(E_F)   14.81 states/eV/cell
Raw total energy   -5.09 eV/atom
Offset from the most stable computed form   0.000 eV/atom

=====

No. 8
Density functional theory data (GGA-PBE) for an optimized crystal structure of ZrIrCl. Values from VASP.

```
&SYSTEM
  ibrav = 0, nat = 6, ntyp = 3
/
ATOMIC_SPECIES
Ir 192.22 Ir.upf
Cl 35.45 Cl.upf
Zr 91.22 Zr.upf
CELL_PARAMETERS angstrom
6.411 0.000 0.000
0.000 3.614 0.000
-1.959 0.000 5.870
ATOMIC_POSITIONS crystal
Ir 0.592 0.000 0.344
Cl 0.030 0.000 0.492
Zr 0.344 0.500 0.427
Ir 0.592 0.500 0.844
Cl 0.030 0.500 0.992
Zr 0.344 0.000 0.927
```

Output
Theoretical density   7.79 g/cm3
DOS(E_F)   0.04 states/eV/cell
E_form (uncorrected)   -0.753 eV/atom
Raw total energy   -7.17 eV/atom
Offset from the most stable computed form   0.291 eV/atom

=====

No. 9
Density functional theory data (GGA-PBE) for an optimized crystal structure of Rb2ZnCCl6. Values from VASP.

```
&SYSTEM
  ibrav = 0, nat = 10, ntyp = 4
/
ATOMIC_SPECIES
Cl 35.45 Cl.upf
Rb 85.47 Rb.upf
C 12.01 C.upf
Zn 65.41 Zn.upf
CELL_PARAMETERS angstrom
7.126 0.000 0.000
0.000 7.126 0.000
3.563 3.563 4.547
ATOMIC_POSITIONS crystal
Cl 0.259 0.259 0.000
Cl 0.259 0.741 0.000
Rb 0.250 0.750 0.500
Cl 0.747 0.747 0.506
Cl 0.253 0.253 0.494
Cl 0.741 0.741 0.000
C 0.500 0.500 0.000
Rb 0.750 0.250 0.500
Zn 0.000 0.000 0.000
Cl 0.741 0.259 0.000
```

Output
Theoretical density   3.32 g/cm3
DOS(E_F)   0.00 states/eV/cell
E_form (uncorrected)   -0.633 eV/atom
Raw total energy   -2.98 eV/atom

=====

No. 10
Density functional theory data (GGA-PBE) for an optimized crystal structure of ErTmSc3. Values from VASP.

```
&SYSTEM
  ibrav = 0, nat = 10, ntyp = 3
/
ATOMIC_SPECIES
Sc 44.96 Sc.upf
Er 167.26 Er.upf
Tm 168.93 Tm.upf
CELL_PARAMETERS angstrom
6.072 0.244 0.372
3.336 5.596 1.342
3.446 -0.097 8.258
ATOMIC_POSITIONS crystal
Sc 0.595 0.290 0.973
Sc 0.831 0.906 0.506
Sc 0.415 0.449 0.336
Sc 0.416 0.951 0.335
Er 0.825 0.405 0.516
Sc 0.010 0.246 0.144
Tm 0.214 0.348 0.740
Er 0.602 0.792 0.963
Tm 0.212 0.849 0.739
Sc 0.012 0.748 0.143
```

Output
Theoretical density   5.83 g/cm3
ΔH_f (0 K)   0.047 eV per atom
DOS(E_F)   19.13 states/eV/cell
Raw total energy   -5.56 eV/atom
Offset from the most stable computed form   0.029 eV/atom

=====

No. 11
Density functional theory data (GGA-PBE) for an optimized crystal structure of PmDyTm2As4. Values from VASP.

```
&SYSTEM
  ibrav = 0, nat = 8, ntyp = 4
/
ATOMIC_SPECIES
As 74.92 As.upf
Pm 145.00 Pm.upf
Tm 168.93 Tm.upf
Dy 162.50 Dy.upf
CELL_PARAMETERS angstrom
4.125 0.000 0.000
0.000 7.135 -0.139
0.000 2.512 6.683
ATOMIC_POSITIONS crystal
As 0.000 0.241 0.256
Pm 0.500 0.500 0.000
As 0.500 0.756 0.251
Tm 0.500 0.000 0.500
Dy 0.000 0.500 0.500
As 0.500 0.244 0.749
Tm 0.000 0.000 0.000
As 0.000 0.759 0.744
```

Output
Theoretical density   7.92 g/cm3
ΔH_f (0 K)   -1.512 eV per atom
DOS(E_F)   0.96 states/eV/cell
Raw total energy   -6.12 eV/atom

=====

No. 12
Density functional theory data (GGA-PBE) for an optimized crystal structure of TlTeN2. Values from VASP.

```
&SYSTEM
  ibrav = 0, nat = 8, ntyp = 3
/
ATOMIC_SPECIES
N 14.01 N.upf
Te 127.60 Te.upf
Tl 204.38 Tl.upf
CELL_PARAMETERS angstrom
5.067 0.000 0.000
0.000 5.067 0.000
2.533 2.533 5.946
ATOMIC_POSITIONS crystal
N 0.875 0.842 0.750
N 0.158 0.625 0.250
N 0.375 0.408 0.750
Te 0.500 0.500 0.000
Tl 0.000 0.000 0.000
Te 0.250 0.750 0.500
N 0.592 0.125 0.250
Tl 0.750 0.250 0.500
```

Output
Theoretical density   7.83 g/cm3
DOS(E_F)   1.54 states/eV/cell
E_form (uncorrected)   1.097 eV/atom
Raw total energy   -4.44 eV/atom
Offset from the most stable computed form   1.164 eV/atom